# NdY2CdO

NdY2CdO after structural relaxation (PBE, Alexandria via LeMat-Bulk).

Unit cell a=4.818 b=4.818 c=4.973 alpha=90.00 beta=90.00 gamma=90.00
Positions (direct):
Nd 0.000 0.000 0.000
Y 0.000 0.500 0.500
Y 0.500 0.000 0.500
Cd 0.500 0.500 0.000
O 0.000 0.000 0.500

Calculated values
Raw formation energy in meV/atom: -1306
Total magnetization in Bohr magnetons per cell: 0.00

# Nd2YCdO

Nd2YCdO after structural relaxation (PBE, Alexandria via LeMat-Bulk).

Unit cell a=5.005 b=5.005 c=4.785 alpha=90.00 beta=90.00 gamma=90.00
Positions (direct):
Nd 0.000 0.500 0.000
Nd 0.500 0.000 0.000
Y 0.000 0.000 0.500
Cd 0.500 0.500 0.500
O 0.000 0.000 0.000

Calculated values
Raw formation energy in meV/atom: -1290
Total magnetization in Bohr magnetons per cell: 0.00

# Nd2ZnCdO5

Nd2ZnCdO5 after structural relaxation (PBE, Alexandria via LeMat-Bulk).

Unit cell a=6.702 b=6.702 c=5.829 alpha=90.00 beta=90.00 gamma=90.00
Positions (direct):
Nd 0.171 0.329 0.000
Nd 0.329 0.829 0.000
Nd 0.671 0.171 0.000
Nd 0.829 0.671 0.000
Zn 0.000 0.500 0.500
Zn 0.500 0.000 0.500
Cd 0.000 0.000 0.500
Cd 0.500 0.500 0.500
O 0.000 0.000 0.000
O 0.145 0.645 0.258
O 0.145 0.645 0.742
O 0.355 0.145 0.258
O 0.355 0.145 0.742
O 0.500 0.500 0.000
O 0.645 0.855 0.258
O 0.645 0.855 0.742
O 0.855 0.355 0.258
O 0.855 0.355 0.742

Calculated values
Raw formation energy in meV/atom: -2101
Total magnetization in Bohr magnetons per cell: 0.00

# Nd3Cd2Os

Nd3Cd2Os after structural relaxation (PBE, Alexandria via LeMat-Bulk).

Unit cell a=8.140 b=8.140 c=7.867 alpha=90.00 beta=90.00 gamma=142.74
Positions (direct):
Nd 0.000 0.000 0.229
Nd 0.000 0.000 0.771
Nd 0.325 0.675 0.219
Nd 0.325 0.675 0.781
Nd 0.675 0.325 0.219
Nd 0.675 0.325 0.781
Cd 0.164 0.836 0.500
Cd 0.500 0.500 0.000
Cd 0.500 0.500 0.500
Cd 0.836 0.164 0.500
Os 0.160 0.840 0.000
Os 0.840 0.160 0.000

Calculated values
Total magnetization in Bohr magnetons per cell: 0.00
VASP energy in eV per cell: -57.1